1.
Pm4Pb5O | the Alexandria database | PBE | relaxed; space group = C2/m (12); formation energy without anion corrections = -0.734 eV/atom
1.0
9.4257 -1.8602 0.0000
9.4257 1.8602 0.0000
-1.0001 0.0000 8.2560
Pm Pb O
4 5 1
Cartesian
0.4798 0.0000 1.5687
6.8986 0.0000 0.8220
10.9527 0.0000 7.4339
17.3715 0.0000 6.6872
2.2731 0.0000 4.6753
3.7107 0.0000 1.7510
8.9257 0.0000 4.1280
14.1406 0.0000 6.5049
15.5783 0.0000 3.5807
9.4257 0.0000 0.0000


2.
Pm6Pb3O2 | the Alexandria database | PBE | relaxed; space group = I4/mmm (139); formation energy without anion corrections = -1.379 eV/atom
1.0
-2.4036 2.4036 13.0535
2.4036 -2.4036 13.0535
2.4036 2.4036 -13.0535
Pm Pb O
6 3 2
Cartesian
2.4036 0.0000 2.1733
0.0000 0.0000 5.0544
2.4036 0.0000 10.8801
0.0000 2.4036 2.1733
0.0000 0.0000 21.0526
0.0000 2.4036 10.8801
0.0000 0.0000 8.3746
0.0000 0.0000 13.0535
0.0000 0.0000 17.7324
0.0000 0.0000 2.6327
0.0000 0.0000 23.4742


3.
Pm2PbO5 | the Alexandria database | PBE | relaxed; space group = Pbam (55); formation energy without anion corrections = -2.465 eV/atom
1.0
6.4638 0.0000 0.0000
0.0000 9.8658 0.0000
0.0000 0.0000 3.4143
Pm Pb O
4 2 10
Cartesian
0.2246 1.6588 0.0000
3.0073 6.5917 0.0000
3.4565 3.2741 0.0000
6.2392 8.2070 0.0000
0.0000 4.9329 1.7071
3.2319 0.0000 1.7071
0.0000 0.0000 1.7071
1.0911 4.0153 0.0000
1.0921 6.8838 1.7071
2.1398 1.9509 1.7071
2.1408 8.9482 0.0000
3.2319 4.9329 1.7071
4.3230 0.9176 0.0000
4.3240 7.9149 1.7071
5.3717 2.9820 1.7071
5.3727 5.8505 0.0000


4.
Pm4Pb2O | the Alexandria database | PBE | relaxed; space group = I4/mmm (139); formation energy without anion corrections = -0.922 eV/atom
1.0
-2.3447 2.3447 9.4045
2.3447 -2.3447 9.4045
2.3447 2.3447 -9.4045
Pm Pb O
4 2 1
Cartesian
2.3447 0.0000 0.0000
0.0000 0.0000 3.2016
0.0000 2.3447 0.0000
0.0000 0.0000 15.6074
0.0000 0.0000 6.5517
0.0000 0.0000 12.2573
0.0000 0.0000 9.4045


5.
Pm4Pb6O19 | the Alexandria database | PBE | relaxed; space group = I23 (197); formation energy without anion corrections = -1.553 eV/atom
1.0
-4.8546 4.8546 4.8546
4.8546 -4.8546 4.8546
4.8546 4.8546 -4.8546
Pm Pb O
4 6 19
Cartesian
3.4593 3.4593 -3.4593
3.4593 -3.4593 3.4593
1.3953 1.3953 1.3953
-3.4593 3.4593 3.4593
4.8546 0.0000 1.6518
4.8546 3.2027 0.0000
1.6518 4.8546 0.0000
3.2027 0.0000 4.8546
0.0000 1.6518 4.8546
0.0000 4.8546 3.2027
0.0000 0.0000 0.0000
3.3184 0.0000 0.0000
6.3907 0.0000 0.0000
4.3687 2.1181 -1.8107
6.6652 -0.4858 2.7365
2.1181 -1.8107 4.3687
3.0439 0.4858 2.7365
0.0000 3.3184 0.0000
0.0000 0.0000 3.3184
2.7365 3.0439 0.4858
5.3404 2.1181 1.8107
0.4858 2.7365 3.0439
2.7365 6.6652 -0.4858
0.0000 6.3907 0.0000
0.0000 0.0000 6.3907
-1.8107 4.3687 2.1181
2.1181 1.8107 5.3404
1.8107 5.3404 2.1181
-0.4858 2.7365 6.6652


6.
Pm2PbO2 | the Alexandria database | PBE | relaxed; space group = I4/mmm (139); formation energy without anion corrections = -2.466 eV/atom
1.0
-1.9804 1.9804 7.2692
1.9804 -1.9804 7.2692
1.9804 1.9804 -7.2692
Pm Pb O
2 1 2
Cartesian
0.0000 0.0000 2.4545
0.0000 0.0000 12.0839
0.0000 0.0000 7.2692
1.9804 0.0000 3.6346
0.0000 1.9804 3.6346


> What is the formula in the first record?

Pm4Pb5O


> Which of these has the lowest formation energy without anion corrections?

Pm2PbO2


> formation energy without anion corrections of number 2 (Pm6Pb3O2)?

-1.379 eV/atom